(1)
Density functional theory data (PBE-GGA) for an optimized crystal structure of HoMnTlSe3.

```
HoMnTlSe3
1.0
9.033 0.000 0.000
0.000 4.192 0.000
-2.835 0.000 9.358
Ho Mn Tl Se
2 2 2 6
Direct
0.168 0.250 0.140
0.832 0.750 0.860
0.418 0.750 0.389
0.582 0.250 0.611
0.291 0.750 0.777
0.709 0.250 0.223
0.040 0.250 0.840
0.292 0.250 0.459
0.385 0.750 0.129
0.615 0.250 0.871
0.708 0.750 0.541
0.960 0.750 0.160
```

- uncorrected formation energy (eV per atom) = -1.03

---

(2)
Density functional theory data (PBE-GGA) for an optimized crystal structure of Pm2Sm3DyHo6.

```
Pm2Sm3DyHo6
1.0
3.097 -5.362 0.000
3.097 5.362 0.000
-2.056 0.000 11.607
Pm Sm Dy Ho
2 3 1 6
Direct
0.166 0.834 0.000
0.834 0.166 0.000
0.000 0.000 0.500
0.333 0.667 0.500
0.667 0.333 0.500
0.500 0.500 0.000
0.083 0.416 0.750
0.251 0.251 0.250
0.416 0.083 0.750
0.584 0.917 0.250
0.749 0.749 0.750
0.917 0.584 0.250
```

- E_form (eV/f.u.) = 0.18

---

(3)
Density functional theory data (PBE-GGA) for an optimized crystal structure of Tl2NiRh.

```
Tl2NiRh
1.0
3.986 0.000 0.000
0.000 1.930 5.011
0.000 -1.930 5.011
Tl Ni Rh
2 1 1
Direct
0.000 0.000 0.000
0.500 0.287 0.287
0.500 0.561 0.561
0.000 0.715 0.715
```

- E_form (eV/f.u.) = 0.81

---

(4)
Density functional theory data (PBE-GGA) for an optimized crystal structure of PmZrSi2Pt2.

```
PmZrSi2Pt2
1.0
4.289 0.000 0.000
-2.144 3.714 0.000
0.000 0.000 7.173
Pm Zr Si Pt
1 1 2 2
Direct
0.000 0.000 0.000
0.000 0.000 0.500
0.333 0.667 0.717
0.667 0.333 0.283
0.333 0.667 0.296
0.667 0.333 0.704
```

- uncorrected formation energy (eV per atom) = -1.07

---

(5)
Density functional theory data (PBE-GGA) for an optimized crystal structure of Zn3Ag2Au8.

```
Zn3Ag2Au8
1.0
7.168 0.000 0.000
0.000 4.548 0.000
-3.549 0.000 7.435
Zn Ag Au
3 2 8
Direct
0.000 0.000 0.000
0.294 0.500 0.000
0.706 0.500 0.000
0.232 0.000 0.465
0.768 0.000 0.535
0.118 0.500 0.238
0.190 0.000 0.795
0.345 0.500 0.688
0.394 0.000 0.204
0.606 0.000 0.796
0.655 0.500 0.312
0.810 0.000 0.205
0.882 0.500 0.762
```

- E_form (eV/f.u.) = -0.61

---

(6)
Density functional theory data (PBE-GGA) for an optimized crystal structure of In2OsCl.

```
In2OsCl
1.0
0.000 3.455 3.455
3.455 0.000 3.455
3.455 3.455 0.000
In Os Cl
2 1 1
Direct
0.250 0.250 0.250
0.750 0.750 0.750
0.000 0.000 0.000
0.500 0.500 0.500
```

- uncorrected formation energy (eV per atom) = 0.69

---

(7)
Density functional theory data (PBE-GGA) for an optimized crystal structure of CsNa2MgCd.

```
CsNa2MgCd
1.0
6.283 0.000 0.000
0.000 6.283 0.000
0.000 0.000 5.566
Cs Na Mg Cd
1 2 1 1
Direct
0.000 0.000 0.000
0.000 0.500 0.500
0.500 0.000 0.500
0.500 0.500 0.500
0.500 0.500 0.000
```

- E_form (eV/f.u.) = 0.58

---

(8)
Density functional theory data (PBE-GGA) for an optimized crystal structure of Ba8Ga2Si.

```
Ba8Ga2Si
1.0
-2.842 4.787 8.326
2.842 -4.787 8.326
2.842 4.787 -8.326
Ba Ga Si
8 2 1
Direct
0.119 0.344 0.776
0.135 0.135 0.000
0.325 0.000 0.325
0.432 0.656 0.776
0.568 0.344 0.224
0.675 0.000 0.675
0.865 0.865 0.000
0.881 0.656 0.224
0.310 0.810 0.500
0.690 0.190 0.500
0.000 0.500 0.500
```

- uncorrected formation energy (eV per atom) = -0.10

---

(9)
Density functional theory data (PBE-GGA) for an optimized crystal structure of CaZrZnPt.

```
CaZrZnPt
1.0
0.000 3.430 3.430
3.430 0.000 3.430
3.430 3.430 0.000
Ca Zr Zn Pt
1 1 1 1
Direct
0.000 0.000 0.000
0.500 0.500 0.500
0.750 0.750 0.750
0.250 0.250 0.250
```

- E_form (eV/f.u.) = -2.00

---

(10)
Density functional theory data (PBE-GGA) for an optimized crystal structure of Zr5RuRh2.

```
Zr5RuRh2
1.0
5.723 0.000 0.000
0.000 11.439 0.000
0.000 0.000 4.632
Zr Ru Rh
10 2 4
Direct
0.000 0.000 0.000
0.150 0.265 0.000
0.158 0.620 0.500
0.342 0.120 0.500
0.350 0.765 0.000
0.500 0.500 0.000
0.650 0.235 0.000
0.658 0.880 0.500
0.842 0.380 0.500
0.850 0.735 0.000
0.000 0.500 0.000
0.500 0.000 0.000
0.159 0.886 0.500
0.341 0.386 0.500
0.659 0.614 0.500
0.841 0.114 0.500
```

- E_form (eV/f.u.) = -4.11

---

(11)
Density functional theory data (PBE-GGA) for an optimized crystal structure of Pu2PaPt5.

```
Pu2PaPt5
1.0
2.882 -5.197 0.000
2.882 5.197 0.000
0.000 0.000 5.292
Pu Pa Pt
2 1 5
Direct
0.233 0.767 0.000
0.767 0.233 0.000
0.500 0.500 0.500
0.000 0.000 0.500
0.000 0.500 0.500
0.263 0.263 0.000
0.500 0.000 0.500
0.737 0.737 0.000
```

- E_form (eV/f.u.) = -6.31

---

(12)
Density functional theory data (PBE-GGA) for an optimized crystal structure of LiSi2W.

```
LiSi2W
1.0
3.333 0.000 0.000
0.000 3.333 0.000
0.000 0.000 5.028
Li Si W
1 2 1
Direct
0.000 0.000 0.000
0.000 0.000 0.508
0.500 0.500 0.221
0.500 0.500 0.717
```

- uncorrected formation energy (eV per atom) = 0.02

---

(13)
Density functional theory data (PBE-GGA) for an optimized crystal structure of Ca2ScTa.

```
Ca2ScTa
1.0
3.200 0.000 0.000
0.000 3.200 0.000
0.000 0.000 10.881
Ca Sc Ta
2 1 1
Direct
0.000 0.000 0.000
0.500 0.500 0.304
0.000 0.000 0.582
0.500 0.500 0.762
```

- E_form (eV/f.u.) = 1.44

---

(14)
Density functional theory data (PBE-GGA) for an optimized crystal structure of InTe2OsI.

```
InTe2OsI
1.0
5.214 0.000 0.000
0.000 5.214 0.000
0.000 0.000 5.848
In Te Os I
1 2 1 1
Direct
0.000 0.000 0.000
0.000 0.500 0.500
0.500 0.000 0.500
0.500 0.500 0.500
0.500 0.500 0.000
```

- uncorrected formation energy (eV per atom) = 0.45

---

(15)
Density functional theory data (PBE-GGA) for an optimized crystal structure of Ho4AsPtSe2.

```
Ho4AsPtSe2
1.0
7.085 0.000 0.000
0.000 4.041 0.000
-2.340 0.000 6.793
Ho As Pt Se
4 1 1 2
Direct
0.237 0.000 0.233
0.251 0.500 0.761
0.749 0.500 0.239
0.763 0.000 0.767
0.500 0.000 0.000
0.000 0.500 0.000
0.000 0.000 0.500
0.500 0.500 0.500
```

- uncorrected formation energy (eV per atom) = -1.55

---

(16)
Density functional theory data (PBE-GGA) for an optimized crystal structure of HfZr6In2.

```
HfZr6In2
1.0
4.084 -7.910 0.000
4.084 7.910 0.000
-0.596 0.000 3.188
Hf Zr In
1 6 2
Direct
0.000 0.000 0.000
0.171 0.497 0.160
0.333 0.333 0.658
0.497 0.171 0.160
0.503 0.829 0.840
0.667 0.667 0.342
0.829 0.503 0.840
0.168 0.832 0.500
0.832 0.168 0.500
```

- E_form (eV/f.u.) = -0.24

---

(17)
Density functional theory data (PBE-GGA) for an optimized crystal structure of SrInAg6.

```
SrInAg6
1.0
5.556 0.000 0.000
0.000 5.556 0.000
0.000 0.000 5.556
Sr In Ag
1 1 6
Direct
0.000 0.000 0.000
0.500 0.500 0.500
0.000 0.255 0.500
0.000 0.745 0.500
0.255 0.500 0.000
0.500 0.000 0.255
0.500 0.000 0.745
0.745 0.500 0.000
```

- E_form (eV/f.u.) = 0.13

---

(18)
Density functional theory data (PBE-GGA) for an optimized crystal structure of ZnWBr2.

```
ZnWBr2
1.0
3.069 -3.956 0.000
3.069 3.956 0.000
0.000 0.000 3.144
Zn W Br
1 1 2
Direct
0.000 0.000 0.000
0.500 0.500 0.000
0.000 0.500 0.500
0.500 0.000 0.500
```

- uncorrected formation energy (eV per atom) = 1.04

---

(19)
Density functional theory data (PBE-GGA) for an optimized crystal structure of RbMg2In2Hg2.

```
RbMg2In2Hg2
1.0
2.421 1.398 10.431
-2.421 1.398 10.431
0.000 -2.796 10.431
Rb Mg In Hg
1 2 2 2
Direct
0.000 0.000 0.000
0.141 0.141 0.141
0.859 0.859 0.859
0.249 0.249 0.249
0.751 0.751 0.751
0.445 0.445 0.445
0.555 0.555 0.555
```

- E_form (eV/f.u.) = -0.88

---

(20)
Density functional theory data (PBE-GGA) for an optimized crystal structure of Ag3IBr.

```
Ag3IBr
1.0
5.350 0.000 0.000
0.000 5.350 0.000
0.000 0.000 5.350
Ag I Br
3 1 1
Direct
0.000 0.000 0.500
0.000 0.500 0.000
0.500 0.000 0.000
0.500 0.500 0.500
0.000 0.000 0.000
```

- uncorrected formation energy (eV per atom) = 0.31